# Lu2P4O13 (PBEsol, relaxed)
# space-group type: C2/c
# magnetic moment: 0.000 μB per cell
# formation energy (no corrections): -2692.1 meV/atom
data_Lu2P4O13
_space_group_name_H-M_alt 'P 1'
_space_group_IT_number 1
_cell_length_a 6.6375
_cell_length_b 6.7514
_cell_length_c 12.6735
_cell_angle_alpha 105.32
_cell_angle_beta 90.00
_cell_angle_gamma 119.44
loop_
_space_group_symop_operation_xyz
'x,y,z'
loop_
_atom_site_label
_atom_site_fract_x
_atom_site_fract_y
_atom_site_fract_z
_atom_site_occupancy
Lu1 0.3089 0.6108 0.4527 1
Lu2 0.3019 0.6108 0.9527 1
Lu3 0.6981 0.3892 0.0473 1
Lu4 0.6911 0.3892 0.5473 1
P1 0.1721 0.0267 0.3682 1
P2 0.2485 0.4760 0.1627 1
P3 0.1454 0.9733 0.1318 1
P4 0.7725 0.5240 0.3373 1
P5 0.2275 0.4760 0.6627 1
P6 0.8546 0.0267 0.8682 1
P7 0.7515 0.5240 0.8373 1
P8 0.8279 0.9733 0.6318 1
O1 0.3436 0.0246 0.4469 1
O2 0.1255 0.2276 0.3984 1
O3 0.1189 0.1995 0.1535 1
O4 0.1021 0.2276 0.8984 1
O5 0.0766 0.5043 0.0962 1
O6 0.0806 0.1995 0.6535 1
O7 0.3114 0.6132 0.2839 1
O8 0.5724 0.4957 0.4038 1
O9 0.6809 0.0246 0.9469 1
O10 0.4510 0.5293 0.0959 1
O11 0.6981 0.3868 0.2161 1
O12 0.0783 0.5293 0.5959 1
O13 0.2598 0.0000 0.2500 1
O14 0.9217 0.4707 0.4041 1
O15 0.3019 0.6132 0.7839 1
O16 0.5490 0.4707 0.9041 1
O17 0.3191 0.9754 0.0531 1
O18 0.4276 0.5043 0.5962 1
O19 0.6886 0.3868 0.7161 1
O20 0.9194 0.8005 0.3465 1
O21 0.9234 0.4957 0.9038 1
O22 0.8979 0.7724 0.1016 1
O23 0.8811 0.8005 0.8465 1
O24 0.7402 0.0000 0.7500 1
O25 0.8745 0.7724 0.6016 1
O26 0.6564 0.9754 0.5531 1

# LuP5O14 (PBEsol, relaxed)
# space-group type: Pnma
# magnetic moment: 0.000 μB per cell
# formation energy (no corrections): -2360.0 meV/atom
data_LuP5O14
_space_group_name_H-M_alt 'P 1'
_space_group_IT_number 1
_cell_length_a 8.6750
_cell_length_b 8.8997
_cell_length_c 12.5750
_cell_angle_alpha 90.00
_cell_angle_beta 90.00
_cell_angle_gamma 90.00
loop_
_space_group_symop_operation_xyz
'x,y,z'
loop_
_atom_site_label
_atom_site_fract_x
_atom_site_fract_y
_atom_site_fract_z
_atom_site_occupancy
Lu1 0.9798 0.9451 0.2500 1
Lu2 0.5202 0.4451 0.7500 1
Lu3 0.4798 0.5549 0.2500 1
Lu4 0.0202 0.0549 0.7500 1
P1 0.9905 0.7035 0.5811 1
P2 0.9905 0.7035 0.9189 1
P3 0.9251 0.4915 0.7500 1
P4 0.7420 0.7258 0.0730 1
P5 0.7420 0.7258 0.4270 1
P6 0.7580 0.2258 0.5730 1
P7 0.7580 0.2258 0.9270 1
P8 0.5749 0.9915 0.2500 1
P9 0.5095 0.2035 0.4189 1
P10 0.5095 0.2035 0.0811 1
P11 0.4905 0.7965 0.9189 1
P12 0.4905 0.7965 0.5811 1
P13 0.4251 0.0085 0.7500 1
P14 0.2420 0.7742 0.0730 1
P15 0.2420 0.7742 0.4270 1
P16 0.2580 0.2742 0.5730 1
P17 0.2580 0.2742 0.9270 1
P18 0.0749 0.5085 0.2500 1
P19 0.0095 0.2965 0.0811 1
P20 0.0095 0.2965 0.4189 1
O1 0.0051 0.1506 0.1361 1
O2 0.0051 0.1506 0.3639 1
O3 0.9570 0.3284 0.7500 1
O4 0.9748 0.4371 0.1523 1
O5 0.9748 0.4371 0.3477 1
O6 0.8886 0.3208 0.5102 1
O7 0.8886 0.3208 0.9898 1
O8 0.8453 0.8388 0.1231 1
O9 0.8453 0.8388 0.3769 1
O10 0.8327 0.6560 0.5283 1
O11 0.8327 0.6560 0.9717 1
O12 0.8290 0.0996 0.6324 1
O13 0.8290 0.0996 0.8676 1
O14 0.7675 0.5587 0.7500 1
O15 0.7325 0.0587 0.2500 1
O16 0.6710 0.5996 0.1324 1
O17 0.6710 0.5996 0.3676 1
O18 0.6673 0.1560 0.0283 1
O19 0.6673 0.1560 0.4717 1
O20 0.6547 0.3388 0.6231 1
O21 0.6547 0.3388 0.8769 1
O22 0.6114 0.8208 0.0102 1
O23 0.6114 0.8208 0.4898 1
O24 0.5252 0.9371 0.6523 1
O25 0.5252 0.9371 0.8477 1
O26 0.5430 0.8284 0.2500 1
O27 0.4949 0.6506 0.6361 1
O28 0.4949 0.6506 0.8639 1
O29 0.5051 0.3494 0.1361 1
O30 0.5051 0.3494 0.3639 1
O31 0.4570 0.1716 0.7500 1
O32 0.4748 0.0629 0.1523 1
O33 0.4748 0.0629 0.3477 1
O34 0.3886 0.1792 0.5102 1
O35 0.3886 0.1792 0.9898 1
O36 0.3453 0.6612 0.1231 1
O37 0.3453 0.6612 0.3769 1
O38 0.3327 0.8440 0.5283 1
O39 0.3327 0.8440 0.9717 1
O40 0.3290 0.4004 0.6324 1
O41 0.3290 0.4004 0.8676 1
O42 0.2675 0.9413 0.7500 1
O43 0.2325 0.4413 0.2500 1
O44 0.1710 0.9004 0.1324 1
O45 0.1710 0.9004 0.3676 1
O46 0.1673 0.3440 0.0283 1
O47 0.1673 0.3440 0.4717 1
O48 0.1547 0.1612 0.8769 1
O49 0.1547 0.1612 0.6231 1
O50 0.1114 0.6792 0.0102 1
O51 0.1114 0.6792 0.4898 1
O52 0.0252 0.5629 0.6523 1
O53 0.0252 0.5629 0.8477 1
O54 0.0430 0.6716 0.2500 1
O55 0.9949 0.8494 0.6361 1
O56 0.9949 0.8494 0.8639 1